[1]
## BaCdTcSn2 (GGA-PBE)

Data for a relaxed BaCdTcSn2 crystal.

The structure in CIF format:
```
data_BaCdTcSn2
_cell_length_a 5.1926
_cell_length_b 5.1926
_cell_length_c 5.3733
_cell_angle_alpha 90.00
_cell_angle_beta 90.00
_cell_angle_gamma 90.00
_symmetry_space_group_name_H-M 'P 1'
_symmetry_Int_Tables_number 1
_symmetry_space_group_name_Hall 'P 1'
loop_
_atom_site_label
_atom_site_type_symbol
_atom_site_fract_x
_atom_site_fract_y
_atom_site_fract_z
Ba1 Ba 0.0000 0.0000 0.0000
Cd1 Cd 0.5000 0.5000 0.0000
Tc1 Tc 0.5000 0.5000 0.5000
Sn1 Sn 0.0000 0.5000 0.5000
Sn2 Sn 0.5000 0.0000 0.5000
```

Computed properties:
Volume, A^3/atom: 28.98
VASP energy, eV/atom: -4.427
Total magnetization, μB per formula unit: 0.00
ΔE to the lowest computed polymorph, meV per atom: 0
ΔH_f (0 K), meV/atom: -185
DOS at the Fermi energy, states/eV/f.u.: 2.76

***

[2]
## GaPSe3 (GGA-PBE)

Data for a relaxed GaPSe3 crystal.

The structure in CIF format:
```
data_GaPSe3
_cell_length_a 8.7945
_cell_length_b 8.7945
_cell_length_c 11.8327
_cell_angle_alpha 120.58
_cell_angle_beta 120.58
_cell_angle_gamma 23.17
_symmetry_space_group_name_H-M 'P 1'
_symmetry_Int_Tables_number 1
_symmetry_space_group_name_Hall 'P 1'
loop_
_atom_site_label
_atom_site_type_symbol
_atom_site_fract_x
_atom_site_fract_y
_atom_site_fract_z
Ga1 Ga 0.1631 0.1631 0.4026
Ga2 Ga 0.8369 0.8369 0.5974
P1 P 0.4498 0.4498 0.2373
P2 P 0.5502 0.5502 0.7627
Se1 Se 0.1347 0.1347 0.9081
Se2 Se 0.3149 0.3149 0.4279
Se3 Se 0.4245 0.4245 0.7846
Se4 Se 0.5755 0.5755 0.2154
Se5 Se 0.6851 0.6851 0.5721
Se6 Se 0.8653 0.8653 0.0919
```

Computed properties:
Volume, A^3/atom: 30.78
VASP energy, eV/atom: -3.985
Total magnetization, μB per formula unit: 0.00
ΔE to the lowest computed polymorph, meV per atom: 0
DOS at the Fermi energy, states/eV/f.u.: 0.34

***

[3]
## ScMnMo2 (GGA-PBE)

Data for a relaxed ScMnMo2 crystal.

The structure in CIF format:
```
data_ScMnMo2
_cell_length_a 2.9257
_cell_length_b 2.9257
_cell_length_c 26.2813
_cell_angle_alpha 90.00
_cell_angle_beta 90.00
_cell_angle_gamma 120.00
_symmetry_space_group_name_H-M 'P 1'
_symmetry_Int_Tables_number 1
_symmetry_space_group_name_Hall 'P 1'
loop_
_atom_site_label
_atom_site_type_symbol
_atom_site_fract_x
_atom_site_fract_y
_atom_site_fract_z
Sc1 Sc 0.0000 0.0000 0.0000
Sc2 Sc 0.3333 0.6667 0.6667
Sc3 Sc 0.6667 0.3333 0.3333
Mn1 Mn 0.0000 0.0000 0.5000
Mn2 Mn 0.3333 0.6667 0.1667
Mn3 Mn 0.6667 0.3333 0.8333
Mo1 Mo 0.0000 0.0000 0.2407
Mo2 Mo 0.0000 0.0000 0.7593
Mo3 Mo 0.3333 0.6667 0.4259
Mo4 Mo 0.3333 0.6667 0.9074
Mo5 Mo 0.6667 0.3333 0.0926
Mo6 Mo 0.6667 0.3333 0.5741
```

Computed properties:
Volume, A^3/atom: 16.23
VASP energy, eV/atom: -8.924
Total magnetization, μB per formula unit: 1.43
ΔE to the lowest computed polymorph, meV per atom: 316
ΔH_f (0 K), meV/atom: 367
DOS at the Fermi energy, states/eV/f.u.: 4.25

***

[4]
## LiCoBr (GGA-PBE)

Data for a relaxed LiCoBr crystal.

The structure in CIF format:
```
data_LiCoBr
_cell_length_a 3.2452
_cell_length_b 3.2452
_cell_length_c 9.5409
_cell_angle_alpha 90.00
_cell_angle_beta 90.00
_cell_angle_gamma 90.00
_symmetry_space_group_name_H-M 'P 1'
_symmetry_Int_Tables_number 1
_symmetry_space_group_name_Hall 'P 1'
loop_
_atom_site_label
_atom_site_type_symbol
_atom_site_fract_x
_atom_site_fract_y
_atom_site_fract_z
Li1 Li 0.0000 0.0000 0.0000
Li2 Li 0.5000 0.5000 0.5000
Co1 Co 0.0000 0.0000 0.6827
Co2 Co 0.5000 0.5000 0.1827
Br1 Br 0.0000 0.0000 0.3090
Br2 Br 0.5000 0.5000 0.8090
```

Computed properties:
Volume, A^3/atom: 16.75
VASP energy, eV/atom: -3.346
Total magnetization, μB per formula unit: 1.57
ΔE to the lowest computed polymorph, meV per atom: 143
DOS at the Fermi energy, states/eV/f.u.: 2.54

***

Question: The highest total magnetization belongs to which entry?
Answer: LiCoBr

***

Please write out number 3 again, unchanged.
## ScMnMo2 (GGA-PBE)

Data for a relaxed ScMnMo2 crystal.

The structure in CIF format:
```
data_ScMnMo2
_cell_length_a 2.9257
_cell_length_b 2.9257
_cell_length_c 26.2813
_cell_angle_alpha 90.00
_cell_angle_beta 90.00
_cell_angle_gamma 120.00
_symmetry_space_group_name_H-M 'P 1'
_symmetry_Int_Tables_number 1
_symmetry_space_group_name_Hall 'P 1'
loop_
_atom_site_label
_atom_site_type_symbol
_atom_site_fract_x
_atom_site_fract_y
_atom_site_fract_z
Sc1 Sc 0.0000 0.0000 0.0000
Sc2 Sc 0.3333 0.6667 0.6667
Sc3 Sc 0.6667 0.3333 0.3333
Mn1 Mn 0.0000 0.0000 0.5000
Mn2 Mn 0.3333 0.6667 0.1667
Mn3 Mn 0.6667 0.3333 0.8333
Mo1 Mo 0.0000 0.0000 0.2407
Mo2 Mo 0.0000 0.0000 0.7593
Mo3 Mo 0.3333 0.6667 0.4259
Mo4 Mo 0.3333 0.6667 0.9074
Mo5 Mo 0.6667 0.3333 0.0926
Mo6 Mo 0.6667 0.3333 0.5741
```

Computed properties:
Volume, A^3/atom: 16.23
VASP energy, eV/atom: -8.924
Total magnetization, μB per formula unit: 1.43
ΔE to the lowest computed polymorph, meV per atom: 316
ΔH_f (0 K), meV/atom: 367
DOS at the Fermi energy, states/eV/f.u.: 4.25

***

Question: Look up the volume of the second one.
Answer: 30.78 A^3/atom

***

Question: Which of these has the highest DOS at the Fermi energy?
Answer: ScMnMo2